No. 1
Here is crystalline ReSbRhI2 at its relaxed geometry from the Alexandria database. Energies are from PBE-GGA.

Summary:
The calculation puts the total DFT energy (no corrections) at -4.061 eV per atom. The value obtained for the volume is 150.8 Å³/cell. The uncorrected formation energy comes out at 1343 meV/atom. Its space-group type is P4/mmm, No. 123.

Cell lengths 5.398, 5.398, 5.174 Å; angles 90.00, 90.00, 90.00 degrees
Fractional positions:
Sb  0.000  0.000  0.500
I  0.500  0.000  0.000
Re  0.500  0.500  0.500
Rh  0.000  0.000  0.000
I  0.000  0.500  0.000


No. 2
Here is crystalline ReSbRhI2 at its relaxed geometry from the Alexandria database. Energies are from PBE-GGA.

Summary:
The calculation puts the total DFT energy (no corrections) at -4.033 eV per atom. The value obtained for the volume is 151.8 Å³/cell. The uncorrected formation energy comes out at 1372 meV/atom. Its space-group type is P4/mmm, No. 123.

Cell lengths 5.473, 5.473, 5.070 Å; angles 90.00, 90.00, 90.00 degrees
Fractional positions:
Sb  0.000  0.000  0.500
Re  0.000  0.000  0.000
I  0.000  0.500  0.000
Rh  0.500  0.500  0.500
I  0.500  0.000  0.000